Below is a relaxed structure of Fe2NiPb, with properties calculated at the PBE-GGA level.

a = 6.6199 Å, b = 6.6199 Å, c = 6.6199 Å
α = 31.21°, β = 31.21°, γ = 31.21°
Each line ends with the local moment (μB).
Fractional coordinates of all 4 atoms:
Fe 0.9723 0.9723 0.9723  2.75
Fe 0.5277 0.5277 0.5277  2.75
Ni 0.2500 0.2500 0.2500  0.79
Pb 0.7500 0.7500 0.7500  -0.08

Properties
The value obtained for the theoretical density is 9.07 g cm⁻³. For the formation energy, the calculation gives 565 meV/atom. The value obtained for the volume is 69 Å³/f.u. As for the space group: R-3m (166). The value obtained for the calculated total energy is -6.039 eV per atom.

Below is a relaxed structure of LaPm3Ir, with properties calculated at the PBE-GGA level.

a = 6.7798 Å, b = 7.0944 Å, c = 7.0944 Å
α = 90.69°, β = 74.90°, γ = 74.90°
Fractional coordinates of all 10 atoms:
La 0.7702 0.9313 0.9313
La 0.2298 0.0687 0.0687
Pm 0.2329 0.0672 0.5658
Pm 0.2329 0.5658 0.0672
Pm 0.7671 0.4342 0.9328
Pm 0.2340 0.5656 0.5656
Pm 0.7671 0.9328 0.4342
Pm 0.7660 0.4344 0.4344
Ir 0.5038 0.2495 0.2495
Ir 0.4962 0.7505 0.7505

Properties
The value obtained for the theoretical density is 8.03 g cm⁻³. For the formation energy, the calculation gives -265 meV/atom. The value obtained for the volume is 158 Å³/f.u. As for the space group: C2/m (12). The value obtained for the calculated total energy is -5.873 eV per atom.

Below is a relaxed structure of V2FePt5Rh, with properties calculated at the PBE-GGA level.

a = 7.2571 Å, b = 7.2571 Å, c = 7.4447 Å
α = 119.17°, β = 119.17°, γ = 90.00°
Each line ends with the local moment (μB).
Fractional coordinates of all 18 atoms:
V 0.1008 0.3992 0.0000  -0.11
V 0.6008 0.1008 0.0000  -0.11
V 0.3992 0.8992 0.0000  -0.11
V 0.8992 0.6008 0.0000  -0.11
Fe 0.2500 0.2500 0.5000  3.28
Fe 0.7500 0.7500 0.5000  3.28
Pt 0.9178 0.4178 0.2607  0.06
Pt 0.6570 0.1570 0.7393  0.06
Pt 0.0822 0.5822 0.7393  0.06
Pt 0.1570 0.0822 0.7393  0.06
Pt 0.5822 0.6570 0.7393  0.06
Pt 0.8430 0.9178 0.2607  0.06
Pt 0.4178 0.3430 0.2607  0.06
Pt 0.3430 0.8430 0.2607  0.06
Pt 0.5000 0.5000 0.0000  0.13
Pt 0.0000 0.0000 0.0000  0.13
Rh 0.2500 0.7500 0.5000  0.12
Rh 0.7500 0.2500 0.5000  0.12

Properties
The value obtained for the theoretical density is 14.45 g cm⁻³. For the formation energy, the calculation gives 80 meV/atom. The value obtained for the volume is 142 Å³/f.u. As for the space group: I4/mcm (140). The value obtained for the calculated total energy is -7.060 eV per atom.

Below is a relaxed structure of Mg2CoN, with properties calculated at the PBE-GGA level.

a = 8.3809 Å, b = 8.3809 Å, c = 6.1796 Å
α = 47.30°, β = 47.30°, γ = 90.00°
Fractional coordinates of all 8 atoms:
Mg 0.4620 0.1250 0.2500
Mg 0.2880 0.6250 0.2500
Mg 0.3750 0.5380 0.7500
Mg 0.8750 0.7120 0.7500
Co 0.0000 0.0000 0.0000
Co 0.7500 0.2500 0.5000
N 0.5000 0.5000 0.0000
N 0.2500 0.7500 0.5000

Properties
The value obtained for the uncorrected formation energy is -161 meV/atom. The value obtained for the theoretical density is 3.28 g cm⁻³. The value obtained for the volume is 62 Å³/f.u. As for the space group: I-42d (122). The value obtained for the calculated total energy is -4.816 eV per atom.

Below is a relaxed structure of Hf5Fe4Pd, with properties calculated at the PBE-GGA level.

a = 3.1162 Å, b = 3.1162 Å, c = 16.4653 Å
α = 90.00°, β = 90.00°, γ = 90.00°
Each line ends with the local moment (μB).
Fractional coordinates of all 10 atoms:
Hf 0.5000 0.5000 0.1149  -0.04
Hf 0.5000 0.5000 0.3080  -0.03
Hf 0.5000 0.5000 0.5000  0.00
Hf 0.5000 0.5000 0.6920  -0.03
Hf 0.5000 0.5000 0.8851  -0.04
Fe 0.0000 0.0000 0.2109  0.20
Fe 0.0000 0.0000 0.4041  -0.01
Fe 0.0000 0.0000 0.5959  -0.01
Fe 0.0000 0.0000 0.7891  0.20
Pd 0.0000 0.0000 0.0000  -0.01

Properties
The value obtained for the theoretical density is 12.69 g cm⁻³. For the formation energy, the calculation gives -388 meV/atom. The value obtained for the volume is 160 Å³/f.u. As for the space group: P4/mmm (123). The value obtained for the calculated total energy is -9.269 eV per atom.

Below is a relaxed structure of CaAc2PdO5, with properties calculated at the PBE-GGA level.

a = 5.9250 Å, b = 7.0716 Å, c = 7.0716 Å
α = 90.00°, β = 90.00°, γ = 90.00°
Fractional coordinates of all 18 atoms:
Ca 0.0000 0.5000 0.5000
Ca 0.0000 0.0000 0.0000
Ac 0.5000 0.6733 0.1733
Ac 0.5000 0.1733 0.3267
Ac 0.5000 0.8267 0.6733
Ac 0.5000 0.3267 0.8267
Pd 0.0000 0.0000 0.5000
Pd 0.0000 0.5000 0.0000
O 0.5000 0.5000 0.5000
O 0.5000 0.0000 0.0000
O 0.2362 0.1455 0.6455
O 0.2362 0.8545 0.3545
O 0.2362 0.3545 0.1455
O 0.2362 0.6455 0.8545
O 0.7638 0.1455 0.6455
O 0.7638 0.6455 0.8545
O 0.7638 0.8545 0.3545
O 0.7638 0.3545 0.1455

Properties
The value obtained for the uncorrected formation energy is -2442 meV/atom. The value obtained for the theoretical density is 7.63 g cm⁻³. The value obtained for the volume is 148 Å³/f.u. As for the space group: P4/mbm (127). The value obtained for the calculated total energy is -6.909 eV per atom.

Below is a relaxed structure of AcIn2Pt2, with properties calculated at the PBE-GGA level.

a = 4.3900 Å, b = 4.3900 Å, c = 6.9221 Å
α = 108.49°, β = 108.49°, γ = 90.00°
Fractional coordinates of all 5 atoms:
Ac 0.0000 0.0000 0.0000
In 0.7500 0.2500 0.5000
In 0.2500 0.7500 0.5000
Pt 0.6085 0.6085 0.2170
Pt 0.3915 0.3915 0.7830

Properties
The value obtained for the theoretical density is 11.79 g cm⁻³. For the formation energy, the calculation gives -811 meV/atom. The value obtained for the volume is 119 Å³/f.u. As for the space group: I4/mmm (139). The value obtained for the calculated total energy is -5.145 eV per atom.

Below is a relaxed structure of Y2SnPt2, with properties calculated at the PBE-GGA level.

a = 5.4900 Å, b = 5.4900 Å, c = 5.6249 Å
α = 60.79°, β = 60.79°, γ = 90.00°
Fractional coordinates of all 5 atoms:
Y 0.7500 0.2500 0.5000
Y 0.2500 0.7500 0.5000
Sn 0.0000 0.0000 0.0000
Pt 0.3459 0.3459 0.3081
Pt 0.6541 0.6541 0.6919

Properties
The value obtained for the theoretical density is 9.29 g cm⁻³. For the formation energy, the calculation gives -890 meV/atom. The value obtained for the volume is 123 Å³/f.u. As for the space group: I4/mmm (139). The value obtained for the calculated total energy is -6.693 eV per atom.